Here is a relaxed structure of K2TaH from Alexandria via LeMat-Bulk. Energies are from PBE.

ΔE to the lowest computed polymorph = 0.000 eV/atom
calculated volume = 144.5 Å³/f.u.

abc: 8.9814 8.9814 8.9814
angles: 92.49 92.49 155.93
Element x y z (fractional)
K 0.3750 0.2008 0.3258
K 0.7992 0.1250 0.1742
K 0.8750 0.0492 0.6742
K 0.9508 0.6250 0.8258
Ta 0.2500 0.7500 0.5000
Ta 0.5000 0.5000 0.0000
H 0.0000 0.0000 0.0000
H 0.7500 0.2500 0.5000